[1]
This record from Alexandria via LeMat-Bulk describes a crystal of AsPbBr2 relaxed with PBEsol. The functional is SCAN.

a b c (Å): 3.520 5.909 9.636
angles (deg): 90.00 90.00 90.00
Fractional positions:
As 0.000 0.000 0.000
As 0.500 0.500 0.500
Pb 0.000 0.000 0.500
Pb 0.500 0.500 0.000
Br 0.000 0.500 0.275
Br 0.000 0.500 0.725
Br 0.500 0.000 0.225
Br 0.500 0.000 0.775

[2]
This record from Alexandria via LeMat-Bulk describes a crystal of AsPbBr2 relaxed with PBEsol. The functional is SCAN.

a b c (Å): 3.498 6.129 9.490
angles (deg): 90.00 90.00 90.00
Fractional positions:
As 0.000 0.000 0.000
As 0.500 0.500 0.000
Pb 0.000 0.000 0.500
Pb 0.500 0.500 0.500
Br 0.000 0.500 0.221
Br 0.000 0.500 0.779
Br 0.500 0.000 0.221
Br 0.500 0.000 0.779

[3]
This record from Alexandria via LeMat-Bulk describes a crystal of AsPbBr2 relaxed with PBEsol. The functional is SCAN.

a b c (Å): 3.644 3.644 7.913
angles (deg): 90.00 90.00 90.00
Fractional positions:
As 0.000 0.000 0.000
Pb 0.500 0.500 0.755
Br 0.000 0.000 0.525
Br 0.500 0.500 0.165

[4]
This record from Alexandria via LeMat-Bulk describes a crystal of As2PbBr relaxed with PBEsol. The functional is SCAN.

a b c (Å): 3.385 3.385 27.878
angles (deg): 90.00 90.00 120.00
Fractional positions:
As 0.000 0.000 0.247
As 0.000 0.000 0.753
As 0.333 0.667 0.419
As 0.333 0.667 0.914
As 0.667 0.333 0.086
As 0.667 0.333 0.581
Pb 0.000 0.000 0.000
Pb 0.333 0.667 0.667
Pb 0.667 0.333 0.333
Br 0.000 0.000 0.500
Br 0.333 0.667 0.167
Br 0.667 0.333 0.833

[5]
This record from Alexandria via LeMat-Bulk describes a crystal of As4PbBr relaxed with PBEsol. The functional is SCAN.

a b c (Å): 5.857 5.857 5.857
angles (deg): 60.00 60.00 60.00
Fractional positions:
As 0.108 0.108 0.108
As 0.108 0.108 0.677
As 0.108 0.677 0.108
As 0.677 0.108 0.108
Pb 0.500 0.500 0.500
Br 0.750 0.750 0.750

[6]
This record from Alexandria via LeMat-Bulk describes a crystal of As2PbBr relaxed with PBEsol. The functional is SCAN.

a b c (Å): 7.134 7.134 7.134
angles (deg): 90.00 90.00 90.00
Fractional positions:
As 0.000 0.000 0.000
As 0.000 0.500 0.500
As 0.250 0.250 0.250
As 0.250 0.750 0.750
As 0.500 0.000 0.500
As 0.500 0.500 0.000
As 0.750 0.250 0.750
As 0.750 0.750 0.250
Pb 0.000 0.000 0.500
Pb 0.000 0.500 0.000
Pb 0.500 0.000 0.000
Pb 0.500 0.500 0.500
Br 0.250 0.250 0.750
Br 0.250 0.750 0.250
Br 0.750 0.250 0.250
Br 0.750 0.750 0.750

[7]
This record from Alexandria via LeMat-Bulk describes a crystal of ReAs2PbBr relaxed with PBEsol. The functional is SCAN.

a b c (Å): 5.320 5.320 5.386
angles (deg): 90.00 90.00 90.00
Fractional positions:
Re 0.000 0.000 0.000
As 0.000 0.500 0.500
As 0.500 0.000 0.500
Pb 0.500 0.500 0.500
Br 0.500 0.500 0.000

[8]
This record from Alexandria via LeMat-Bulk describes a crystal of SnAs2PbBr relaxed with PBEsol. The functional is SCAN.

a b c (Å): 5.203 5.203 5.382
angles (deg): 90.00 90.00 90.00
Fractional positions:
Sn 0.000 0.000 0.000
As 0.000 0.500 0.000
As 0.500 0.000 0.000
Pb 0.500 0.500 0.500
Br 0.000 0.000 0.500

[9]
This record from Alexandria via LeMat-Bulk describes a crystal of TiAsPbBr2 relaxed with PBEsol. The functional is SCAN.

a b c (Å): 5.526 5.526 5.485
angles (deg): 90.00 90.00 90.00
Fractional positions:
Ti 0.000 0.000 0.000
As 0.500 0.500 0.000
Pb 0.500 0.500 0.500
Br 0.000 0.500 0.500
Br 0.500 0.000 0.500

[10]
This record from Alexandria via LeMat-Bulk describes a crystal of As2PbWBr relaxed with PBEsol. The functional is SCAN.

a b c (Å): 5.278 5.278 5.321
angles (deg): 90.00 90.00 90.00
Fractional positions:
As 0.000 0.500 0.000
As 0.500 0.000 0.000
Pb 0.000 0.000 0.000
W 0.500 0.500 0.500
Br 0.000 0.000 0.500

[11]
This record from Alexandria via LeMat-Bulk describes a crystal of ReAsPdBr2 relaxed with PBEsol. The functional is SCAN.

a b c (Å): 4.893 4.893 5.021
angles (deg): 90.00 90.00 90.00
Fractional positions:
Re 0.000 0.000 0.000
As 0.500 0.500 0.000
Pd 0.500 0.500 0.500
Br 0.000 0.500 0.500
Br 0.500 0.000 0.500

[12]
This record from Alexandria via LeMat-Bulk describes a crystal of AsPdRuBr2 relaxed with PBEsol. The functional is SCAN.

a b c (Å): 5.032 5.032 4.553
angles (deg): 90.00 90.00 90.00
Fractional positions:
As 0.000 0.000 0.000
Pd 0.500 0.500 0.000
Ru 0.000 0.000 0.500
Br 0.000 0.500 0.500
Br 0.500 0.000 0.500

[13]
This record from Alexandria via LeMat-Bulk describes a crystal of As2PdSBr relaxed with PBEsol. The functional is SCAN.

a b c (Å): 4.832 4.832 4.849
angles (deg): 90.00 90.00 90.00
Fractional positions:
As 0.000 0.500 0.000
As 0.500 0.000 0.000
Pd 0.000 0.000 0.000
S 0.500 0.500 0.500
Br 0.000 0.000 0.500

[14]
This record from Alexandria via LeMat-Bulk describes a crystal of SbAsPdBr2 relaxed with PBEsol. The functional is SCAN.

a b c (Å): 5.370 5.370 5.369
angles (deg): 90.00 90.00 90.00
Fractional positions:
Sb 0.000 0.000 0.000
As 0.000 0.000 0.500
Pd 0.500 0.500 0.500
Br 0.000 0.500 0.000
Br 0.500 0.000 0.000

[15]
This record from Alexandria via LeMat-Bulk describes a crystal of SnAs2PdBr relaxed with PBEsol. The functional is SCAN.

a b c (Å): 4.820 4.820 5.144
angles (deg): 90.00 90.00 90.00
Fractional positions:
Sn 0.000 0.000 0.000
As 0.000 0.500 0.500
As 0.500 0.000 0.500
Pd 0.500 0.500 0.500
Br 0.500 0.500 0.000

[16]
This record from Alexandria via LeMat-Bulk describes a crystal of TaAsPdBr2 relaxed with PBEsol. The functional is SCAN.

a b c (Å): 4.818 4.818 4.969
angles (deg): 90.00 90.00 90.00
Fractional positions:
Ta 0.000 0.000 0.000
As 0.500 0.500 0.000
Pd 0.500 0.500 0.500
Br 0.000 0.500 0.500
Br 0.500 0.000 0.500

[17]
This record from Alexandria via LeMat-Bulk describes a crystal of TeAs2PdBr relaxed with PBEsol. The functional is SCAN.

a b c (Å): 5.263 5.263 5.352
angles (deg): 90.00 90.00 90.00
Fractional positions:
Te 0.000 0.000 0.000
As 0.000 0.500 0.000
As 0.500 0.000 0.000
Pd 0.500 0.500 0.500
Br 0.000 0.000 0.500

[18]
This record from Alexandria via LeMat-Bulk describes a crystal of TiAsPdBr2 relaxed with PBEsol. The functional is SCAN.

a b c (Å): 4.864 4.864 4.975
angles (deg): 90.00 90.00 90.00
Fractional positions:
Ti 0.000 0.000 0.000
As 0.000 0.000 0.500
Pd 0.500 0.500 0.500
Br 0.000 0.500 0.000
Br 0.500 0.000 0.000

[19]
This record from Alexandria via LeMat-Bulk describes a crystal of YAs2PdBr relaxed with PBEsol. The functional is SCAN.

a b c (Å): 5.375 5.375 5.265
angles (deg): 90.00 90.00 90.00
Fractional positions:
Y 0.000 0.000 0.000
As 0.000 0.500 0.000
As 0.500 0.000 0.000
Pd 0.500 0.500 0.500
Br 0.000 0.000 0.500

[20]
This record from Alexandria via LeMat-Bulk describes a crystal of Pr3AsBr3 relaxed with PBEsol. The functional is SCAN.

a b c (Å): 10.279 10.279 10.279
angles (deg): 109.47 109.47 109.47
Fractional positions:
Pr 0.009 0.019 0.259
Pr 0.009 0.491 0.750
Pr 0.019 0.259 0.009
Pr 0.241 0.259 0.750
Pr 0.241 0.481 0.491
Pr 0.259 0.009 0.019
Pr 0.259 0.750 0.241
Pr 0.481 0.491 0.241
Pr 0.491 0.241 0.481
Pr 0.491 0.750 0.009
Pr 0.750 0.009 0.491
Pr 0.750 0.241 0.259
As 0.000 0.250 0.500
As 0.250 0.250 0.250
As 0.250 0.500 0.000
As 0.500 0.000 0.250
Br 0.250 0.757 0.743
Br 0.250 0.993 0.507
Br 0.507 0.250 0.993
Br 0.507 0.757 0.513
Br 0.513 0.507 0.757
Br 0.743 0.250 0.757
Br 0.743 0.993 0.987
Br 0.757 0.513 0.507
Br 0.757 0.743 0.250
Br 0.987 0.743 0.993
Br 0.993 0.507 0.250
Br 0.993 0.987 0.743

| no. | formation energy from raw total energies (kJ/mol of formula units) |
| --- | --- |
| 1 | -21 |
| 2 | 6 |
| 3 | -5 |
| 4 | 188 |
| 5 | 88 |
| 6 | 114 |
| 7 | 877 |
| 8 | 206 |
| 9 | 183 |
| 10 | 879 |
| 11 | 594 |
| 12 | 292 |
| 13 | 343 |
| 14 | 332 |
| 15 | 168 |
| 16 | 482 |
| 17 | 542 |
| 18 | 29 |
| 19 | 168 |
| 20 | -1217 |